Version 1
# ZnSnSeO

ZnSnSeO after structural relaxation (PBE-GGA, OQMD).

a b c (Å): 3.8802 3.8802 12.2339
angles (deg): 90.00 90.00 120.00
Space group P6_3mc (No. 186)
Symmetry-distinct sites (fractional):
Zn: 0.0000 0.0000 0.0000 [2 per cell]
Sn: 0.3333 0.6667 0.2745 [2 per cell]
Se: 0.3333 0.6667 0.5817 [2 per cell]
O: 0.0000 0.0000 0.3393 [2 per cell]

---

Version 2
# ZnSnSeO

ZnSnSeO after structural relaxation (PBE-GGA, OQMD).

a b c (Å): 4.922 4.922 7.091
angles (deg): 90.00 90.00 90.00
Space group P4/nmm (No. 129, origin choice 2)
Symmetry-distinct sites (fractional):
Zn: 0.250 0.250 0.129 [2 per cell]
Sn: 0.250 0.250 0.675 [2 per cell]
Se: 0.250 0.750 0.000 [2 per cell]
O: 0.250 0.250 0.398 [2 per cell]

---

What should be chosen as the most stable of them? Choose version 1.

---

Version 1
# ZnSnSeO

ZnSnSeO after structural relaxation (PBE-GGA, OQMD).

a b c (Å): 6.037 9.193 5.867
angles (deg): 90.00 90.00 90.00
Space group Pca2_1 (No. 29)
Symmetry-distinct sites (fractional):
Zn: 0.104 0.067 0.000 [4 per cell]
Sn: 0.014 0.320 0.605 [4 per cell]
Se: 0.014 0.681 0.601 [4 per cell]
O: 0.093 0.075 0.650 [4 per cell]

---

Version 2
# ZnSnSeO

ZnSnSeO after structural relaxation (PBE-GGA, OQMD).

a b c (Å): 6.004 7.078 8.263
angles (deg): 90.00 90.00 90.00
Space group P2_12_12_1 (No. 19)
Symmetry-distinct sites (fractional):
Zn: 0.006 0.111 0.453 [4 per cell]
Sn: 0.071 0.641 0.387 [4 per cell]
Se: 0.094 0.892 0.897 [4 per cell]
O: 0.118 0.360 0.010 [4 per cell]

---

Version 3
# ZnSnSeO

ZnSnSeO after structural relaxation (PBE-GGA, OQMD).

a b c (Å): 3.515 17.397 5.877
angles (deg): 90.00 90.00 90.00
Space group Cmc2_1 (No. 36)
Symmetry-distinct sites (fractional):
Zn: 0.000 0.154 0.000 [4 per cell]
Sn: 0.000 0.422 0.048 [4 per cell]
Se: 0.000 0.185 0.401 [4 per cell]
O: 0.000 0.374 0.378 [4 per cell]

---

What should be chosen as the most stable of them? Choose version 1.